[1]
## TcTe2P (GGA-PBEsol)

Data for crystalline TcTe2P at its relaxed geometry.

Results
**Spin magnetization**: 0.00 μB/atom
**Formation energy without anion corrections**: 2.6 eV per formula unit

Cell lengths 6.4709, 6.4709, 10.0765 Å; angles 90.00, 90.00, 90.00 degrees
Last column: nearest neighbours and their distance in Å.
Space group I-42d (No. 122)
Unique sites:
Tc 0.0000 0.0000 0.0000  4 Te 2.52
Te 0.2268 0.2500 0.1250  2 Tc 2.52, 2 P 2.71
P 0.0000 0.0000 0.5000  4 Te 2.71

[2]
## Te2PbNF (GGA-PBEsol)

Data for crystalline Te2PbNF at its relaxed geometry.

Results
**Spin magnetization**: 0.50 μB/atom
**Formation energy without anion corrections**: 3.2 eV per formula unit

Cell lengths 4.7751, 4.7751, 4.9611 Å; angles 90.00, 90.00, 90.00 degrees
Last column: nearest neighbours and their distance in Å.
Space group P4/mmm (No. 123)
Unique sites:
Te 0.0000 0.5000 0.0000  2 F 2.39
Pb 0.0000 0.0000 0.5000  4 N 3.38, 8 Te 3.44
N 0.5000 0.5000 0.5000  2 F 2.48
F 0.5000 0.5000 0.0000  4 Te 2.39, 2 N 2.48

Question: Number 1 is which compound?
Answer: TcTe2P

Question: spin magnetization of number 2 (Te2PbNF)?
Answer: 0.50 μB/atom

Question: What is the formula in the second record?
Answer: Te2PbNF